Entry 1:
This record from Alexandria via LeMat-Bulk describes a geometry-optimized LaPm3YTm structure. The functional is GGA-PBE.

The structure in POSCAR format:
```
LaPm3YTm
1.0
8.0879 0.0000 0.0000
0.0000 5.1526 0.0000
-3.2866 0.0000 9.7425
La Pm Y Tm
2 6 2 2
direct
0.1694 0.2500 0.2930
0.8306 0.7500 0.7070
0.1685 0.2500 0.7912
0.1690 0.7500 0.0419
0.1706 0.7500 0.5428
0.8294 0.2500 0.4572
0.8310 0.2500 0.9581
0.8315 0.7500 0.2088
0.4978 0.7500 0.8746
0.5022 0.2500 0.1254
0.4995 0.2500 0.6254
0.5005 0.7500 0.3746
```

Calculated formation energy   2.62 kJ per mole of atoms
Electronic total energy   -4.9920 eV/atom
D(E_F)   19.71 states/eV/cell
SG   P2_1/m (11)
V   33.83 A^3/atom
Magnetic moment   0.0 μB/cell


Entry 2:
This record from Alexandria via LeMat-Bulk describes a geometry-optimized KNa2ZnF structure. The functional is GGA-PBE.

The structure in POSCAR format:
```
KNa2ZnF
1.0
4.9098 0.0000 0.0000
0.0000 4.9098 0.0000
0.0000 0.0000 5.3010
K Na Zn F
1 2 1 1
direct
0.0000 0.0000 0.0000
0.0000 0.5000 0.5000
0.5000 0.0000 0.5000
0.5000 0.5000 0.0000
0.0000 0.0000 0.5000
```

Electronic total energy   -2.2869 eV/atom
D(E_F)   2.43 states/eV/cell
SG   P4/mmm (123)
V   25.56 A^3/atom
Magnetic moment   0.0 μB/cell


Entry 3:
This record from Alexandria via LeMat-Bulk describes a geometry-optimized TaTe2Mo structure. The functional is GGA-PBE.

The structure in POSCAR format:
```
TaTe2Mo
1.0
-3.1245 3.1245 6.2081
3.1245 -3.1245 6.2081
3.1245 3.1245 -6.2081
Ta Te Mo
2 4 2
direct
0.0000 0.0000 0.0000
0.7500 0.2500 0.5000
0.1286 0.6250 0.0036
0.3750 0.3786 0.5036
0.6214 0.1250 0.9964
0.8750 0.8714 0.4964
0.2500 0.7500 0.5000
0.5000 0.5000 0.0000
```

Electronic total energy   -6.3488 eV/atom
D(E_F)   8.22 states/eV/cell
SG   I-42d (122)
V   30.30 A^3/atom
Energy above the lowest structure with this stoichiometry   1076 meV per atom
Magnetic moment   7.6 μB/cell


Entry 4:
This record from Alexandria via LeMat-Bulk describes a geometry-optimized Ba2MnPb structure. The functional is GGA-PBE.

The structure in POSCAR format:
```
Ba2MnPb
1.0
2.0905 1.2070 10.4200
-2.0905 1.2070 10.4200
0.0000 -2.4139 10.4200
Ba Mn Pb
2 1 1
direct
0.2437 0.2437 0.2437
0.7563 0.7563 0.7563
0.5000 0.5000 0.5000
0.0000 0.0000 0.0000
```

Calculated formation energy   28.52 kJ per mole of atoms
Electronic total energy   -3.8852 eV/atom
D(E_F)   3.33 states/eV/cell
SG   R-3m (166)
V   39.44 A^3/atom
Magnetic moment   3.2 μB/cell


Entry 5:
This record from Alexandria via LeMat-Bulk describes a geometry-optimized Rb2ZrInF6 structure. The functional is GGA-PBE.

The structure in POSCAR format:
```
Rb2ZrInF6
1.0
-3.4899 3.4899 4.9308
3.4899 -3.4899 4.9308
3.4899 3.4899 -4.9308
Rb Zr In F
2 1 1 6
direct
0.2500 0.7500 0.5000
0.7500 0.2500 0.5000
0.0000 0.0000 0.0000
0.5000 0.5000 0.0000
0.2081 0.2081 0.0000
0.2079 0.2079 0.4158
0.2079 0.7921 0.0000
0.7921 0.2079 0.0000
0.7919 0.7919 0.0000
0.7921 0.7921 0.5842
```

Electronic total energy   -5.2042 eV/atom
D(E_F)   5.09 states/eV/cell
SG   I4/mmm (139)
V   24.02 A^3/atom
Magnetic moment   0.0 μB/cell


Entry 6:
This record from Alexandria via LeMat-Bulk describes a geometry-optimized CaNbCr structure. The functional is GGA-PBE.

The structure in POSCAR format:
```
CaNbCr
1.0
-1.6689 1.6689 5.6859
1.6689 -1.6689 5.6859
1.6689 1.6689 -5.6859
Ca Nb Cr
1 1 1
direct
0.0000 0.0000 0.0000
0.7150 0.7150 0.0000
0.3035 0.3035 0.0000
```

Calculated formation energy   46.73 kJ per mole of atoms
Electronic total energy   -6.7473 eV/atom
D(E_F)   1.97 states/eV/cell
SG   I4mm (107)
V   21.12 A^3/atom
Energy above the lowest structure with this stoichiometry   155 meV per atom
Magnetic moment   0.8 μB/cell


Entry 7:
This record from Alexandria via LeMat-Bulk describes a geometry-optimized TaFePt2 structure. The functional is GGA-PBE.

The structure in POSCAR format:
```
TaFePt2
1.0
4.5976 -1.4028 0.0000
4.5976 1.4028 0.0000
-0.8863 0.0000 4.7768
Ta Fe Pt
1 1 2
direct
0.0000 0.0000 0.0000
0.7467 0.7467 0.2825
0.2482 0.2482 0.7794
0.4930 0.4930 0.4873
```

Calculated formation energy   -38.43 kJ per mole of atoms
Electronic total energy   -8.4975 eV/atom
D(E_F)   3.35 states/eV/cell
SG   Cm (8)
V   15.40 A^3/atom
Energy above the lowest structure with this stoichiometry   176 meV per atom
Magnetic moment   2.8 μB/cell


Entry 8:
This record from Alexandria via LeMat-Bulk describes a geometry-optimized K2ZrTeS4 structure. The functional is GGA-PBE.

The structure in POSCAR format:
```
K2ZrTeS4
1.0
-3.9209 3.9209 3.9262
3.9209 -3.9209 3.9262
3.9209 3.9209 -3.9262
K Zr Te S
2 1 1 4
direct
0.0000 0.0000 0.0000
0.7500 0.2500 0.5000
0.5000 0.5000 0.0000
0.2500 0.7500 0.5000
0.1613 0.5134 0.0422
0.4712 0.1191 0.9578
0.4866 0.5288 0.6479
0.8809 0.8387 0.3521
```

Electronic total energy   -4.7821 eV/atom
SG   I-4 (82)
V   30.18 A^3/atom
Magnetic moment   0.0 μB/cell